Entry from Alexandria: a relaxed Sr2Ac5Tl4 crystal (PBE).

For the final energy, the calculation gives -3.18 eV per atom. For the formation enthalpy at 0 K, the calculation gives -1.58 eV per formula unit. As for the crystal system: monoclinic.

It has space group C2/m (No. 12), with a = 23.8610 Å, b = 4.0875 Å, c = 9.3646 Å, α = 90.00°, β = 100.18° and γ = 90.00°. Symmetry generates all atoms from Sr at (0.0672, 0.0000, 0.1358), Ac at (0.0000, 0.0000, 0.5000), Ac at (0.1587, 0.5000, 0.4997), Ac at (0.1806, 0.5000, 0.9426), Tl at (0.0446, 0.5000, 0.7910) and Tl at (0.2104, 0.0000, 0.2553).